DFT (PBE) results for FeHgSeBr2 after structural relaxation.

Geometry as CIF:
```
data_FeHgSeBr2
_cell_length_a 5.1756
_cell_length_b 5.1756
_cell_length_c 4.4858
_cell_angle_alpha 90.00
_cell_angle_beta 90.00
_cell_angle_gamma 90.00
_space_group_name_H-M_alt 'P 1'
_space_group_IT_number 1
loop_
_space_group_symop_operation_xyz
'x,y,z'
loop_
_atom_site_label
_atom_site_type_symbol
_atom_site_fract_x
_atom_site_fract_y
_atom_site_fract_z
Se1 Se 0.0000 0.0000 0.5000
Hg1 Hg 0.5000 0.5000 0.5000
Br1 Br 0.0000 0.5000 0.0000
Br2 Br 0.5000 0.0000 0.0000
Fe1 Fe 0.0000 0.0000 0.0000
```

E above lowest polymorph = 0.0 meV/atom
Calculated volume = 120.16 Å³/cell
Magnetization = 0.001 μB per formula unit
Formation energy (no corrections) = 0.146 eV/atom
D(E_F) = 6.833 states/eV per cell

DFT (PBE) results for Fe2TcHgBr after structural relaxation.

Geometry as CIF:
```
data_Fe2TcHgBr
_cell_length_a 4.9052
_cell_length_b 5.7299
_cell_length_c 4.9052
_cell_angle_alpha 90.00
_cell_angle_beta 90.00
_cell_angle_gamma 90.00
_space_group_name_H-M_alt 'P 1'
_space_group_IT_number 1
loop_
_space_group_symop_operation_xyz
'x,y,z'
loop_
_atom_site_label
_atom_site_type_symbol
_atom_site_fract_x
_atom_site_fract_y
_atom_site_fract_z
Fe1 Fe 0.0000 0.0000 0.5000
Fe2 Fe 0.5000 0.0000 0.0000
Hg1 Hg 0.0000 0.0000 0.0000
Br1 Br 0.0000 0.5000 0.0000
Tc1 Tc 0.5000 0.5000 0.5000
```

Calculated volume = 137.86 Å³/cell
Magnetization = 10.499 μB per formula unit
Formation energy (no corrections) = 1.981 eV/atom
D(E_F) = 5.358 states/eV per cell

DFT (PBE) results for TlFe2HgBr6 after structural relaxation.

Geometry as CIF:
```
data_TlFe2HgBr6
_cell_length_a 10.9071
_cell_length_b 10.9060
_cell_length_c 6.5807
_cell_angle_alpha 90.05
_cell_angle_beta 90.04
_cell_angle_gamma 93.17
_space_group_name_H-M_alt 'P 1'
_space_group_IT_number 1
loop_
_space_group_symop_operation_xyz
'x,y,z'
loop_
_atom_site_label
_atom_site_type_symbol
_atom_site_fract_x
_atom_site_fract_y
_atom_site_fract_z
Tl1 Tl 0.2539 0.7461 0.2500
Tl2 Tl 0.7461 0.2539 0.7500
Fe1 Fe 0.2825 0.1367 0.7732
Fe2 Fe 0.8633 0.7175 0.7268
Fe3 Fe 0.7175 0.8633 0.2268
Fe4 Fe 0.1367 0.2825 0.2732
Hg1 Hg 0.6196 0.3804 0.2500
Hg2 Hg 0.3804 0.6196 0.7500
Br1 Br 0.9428 0.3233 0.1488
Br2 Br 0.6767 0.0571 0.3512
Br3 Br 0.0572 0.6767 0.8512
Br4 Br 0.3233 0.9429 0.6488
Br5 Br 0.2219 0.0966 0.1335
Br6 Br 0.9034 0.7781 0.3665
Br7 Br 0.7781 0.9034 0.8665
Br8 Br 0.0966 0.2219 0.6335
Br9 Br 0.2841 0.4474 0.2612
Br10 Br 0.5526 0.7159 0.2388
Br11 Br 0.7159 0.5526 0.7388
Br12 Br 0.4474 0.2841 0.7612
```

Calculated volume = 781.58 Å³/cell
Magnetization = 9.000 μB per formula unit
Formation energy (no corrections) = -0.473 eV/atom
D(E_F) = 9.264 states/eV per cell

DFT (PBE) results for YFeHgBr2 after structural relaxation.

Geometry as CIF:
```
data_YFeHgBr2
_cell_length_a 4.9634
_cell_length_b 4.9634
_cell_length_c 5.2535
_cell_angle_alpha 90.00
_cell_angle_beta 90.00
_cell_angle_gamma 90.00
_space_group_name_H-M_alt 'P 1'
_space_group_IT_number 1
loop_
_space_group_symop_operation_xyz
'x,y,z'
loop_
_atom_site_label
_atom_site_type_symbol
_atom_site_fract_x
_atom_site_fract_y
_atom_site_fract_z
Y1 Y 0.0000 0.0000 0.5000
Hg1 Hg 0.5000 0.5000 0.5000
Br1 Br 0.0000 0.5000 0.0000
Br2 Br 0.5000 0.0000 0.0000
Fe1 Fe 0.0000 0.0000 0.0000
```

Calculated volume = 129.42 Å³/cell
Magnetization = 1.659 μB per formula unit
Formation energy (no corrections) = -0.088 eV/atom
D(E_F) = 2.878 states/eV per cell